[1]
# PuGa2Si

An optimized crystal structure of PuGa2Si (PBE, the Alexandria database).

Cell: 4.0719 5.7232 7.1798 Å, 90.00 90.00 110.84°
Site moments in Bohr magnetons follow the coordinates.
Fractional positions:
Si1 0.1773 0.3546 0.2500  -0.03
Pu1 0.8812 0.7625 0.2500  5.25
Pu2 0.1188 0.2375 0.7500  5.25
Ga1 0.6086 0.2172 0.4391  -0.01
Ga2 0.6086 0.2172 0.0609  -0.01
Si2 0.8227 0.6454 0.7500  -0.03
Ga3 0.3914 0.7828 0.5609  -0.01
Ga4 0.3914 0.7828 0.9391  -0.01

Properties
As for the raw formation energy: -4.8 kcal/mol of atoms. The calculation puts the volume at 19.5 Å³ per atom. Its space group is Cmcm. Its total energy is -53.3 eV for the cell shown.



[2]
# InTeS6

An optimized crystal structure of InTeS6 (PBE, the Alexandria database).

Cell: 4.0320 7.7214 8.1793 Å, 111.43 76.28 74.34°
Fractional positions:
In1 0.0000 0.0000 0.0000
S1 0.1046 0.5205 0.2617
S2 0.6450 0.7318 0.9864
S3 0.8954 0.4795 0.7383
Te1 0.5000 0.5000 0.5000
S4 0.2283 0.8785 0.6543
S5 0.7717 0.1215 0.3457
S6 0.3550 0.2682 0.0136

Properties
As for the raw formation energy: 0.0 kcal/mol of atoms. The calculation puts the volume at 26.5 Å³ per atom. Its space group is P-1. Its total energy is -30.6 eV for the cell shown.



[3]
# Ac2PmAl3Pt12

An optimized crystal structure of Ac2PmAl3Pt12 (PBE, the Alexandria database).

Cell: 8.0346 8.0346 8.0346 Å, 63.07 63.07 63.07°
Fractional positions:
Ac1 0.3959 0.3959 0.3959
Pt1 0.5937 0.1439 0.1439
Pt2 0.8984 0.3589 0.3589
Pt3 0.8561 0.8561 0.4063
Pt4 0.1439 0.5937 0.1439
Pt5 0.4063 0.8561 0.8561
Pm1 0.0000 0.0000 0.0000
Ac2 0.6041 0.6041 0.6041
Pt6 0.6411 0.1016 0.6411
Pt7 0.6411 0.6411 0.1016
Al1 0.0000 0.0000 0.5000
Pt8 0.1016 0.6411 0.6411
Al2 0.5000 0.0000 0.0000
Pt9 0.3589 0.8984 0.3589
Pt10 0.8561 0.4063 0.8561
Pt11 0.3589 0.3589 0.8984
Pt12 0.1439 0.1439 0.5937
Al3 0.0000 0.5000 0.0000

Properties
The calculation puts the volume at 21.8 Å³ per atom. Its space group is R-3m. Its total energy is -106.5 eV for the cell shown.



[4]
# Sr2NdSnSe4

An optimized crystal structure of Sr2NdSnSe4 (PBE, the Alexandria database).

Cell: 4.3475 7.5257 7.5865 Å, 70.61 90.00 90.00°
Fractional positions:
Se1 0.0000 0.2605 0.2457
Se2 0.0000 0.7395 0.7542
Nd1 0.5000 0.5000 0.0000
Se3 0.5000 0.2605 0.7494
Sr1 0.0000 0.0000 0.0000
Sr2 0.5000 0.0000 0.5000
Se4 0.5000 0.7395 0.2506
Sn1 0.0000 0.5000 0.5000

Properties
As for the raw formation energy: -35.5 kcal/mol of atoms. The calculation puts the volume at 29.3 Å³ per atom. Its space group is P2/m. Its total energy is -38.4 eV for the cell shown.



[5]
# BaZr3Ta

An optimized crystal structure of BaZr3Ta (PBE, the Alexandria database).

Cell: 5.3447 5.3447 5.3447 Å, 90.00 90.00 90.00°
Fractional positions:
Ta1 0.0000 0.0000 0.0000
Zr1 0.0000 0.0000 0.5000
Zr2 0.5000 0.0000 0.0000
Ba1 0.5000 0.5000 0.5000
Zr3 0.0000 0.5000 0.0000

Properties
The calculation puts the volume at 30.5 Å³ per atom. Its space group is Pm-3m. Its total energy is -35.7 eV for the cell shown.



[6]
# TbNd3Dy6

An optimized crystal structure of TbNd3Dy6 (PBE, the Alexandria database).

Cell: 6.5991 9.7047 6.6619 Å, 111.28 119.69 90.00°
Fractional positions:
Dy1 0.3633 0.0790 0.7266
Dy2 0.9323 0.3116 0.3723
Nd1 0.0000 0.0000 0.0000
Dy3 0.0677 0.6884 0.6277
Dy4 0.4400 0.3116 0.3723
Nd2 0.9302 0.3014 0.8605
Tb1 0.5000 0.5000 0.0000
Dy5 0.6367 0.9210 0.2734
Nd3 0.0698 0.6986 0.1395
Dy6 0.5600 0.6884 0.6277

Properties
The calculation puts the volume at 33.7 Å³ per atom. Its space group is C2/m. Its total energy is -44.3 eV for the cell shown.



[7]
# Rb3Pa3TiN8

An optimized crystal structure of Rb3Pa3TiN8 (PBE, the Alexandria database).

Cell: 6.9664 6.9610 7.8852 Å, 116.26 90.00 120.03°
Fractional positions:
Pa1 0.0000 0.5000 0.5000
N1 0.2070 0.9384 0.6461
Pa2 0.5000 0.5000 0.5000
Pa3 0.5000 0.0000 0.5000
N2 0.2812 0.5623 0.3427
N3 0.7314 0.9384 0.6461
Rb1 0.0000 0.0000 0.0000
N4 0.2078 0.4155 0.6465
N5 0.7930 0.0616 0.3539
N6 0.2686 0.0616 0.3539
Ti1 0.0000 0.0000 0.5000
Rb2 0.0000 0.5000 0.0000
N7 0.7922 0.5845 0.3535
N8 0.7188 0.4377 0.6573
Rb3 0.5000 0.5000 0.0000

Properties
As for the raw formation energy: -21.5 kcal/mol of atoms. The calculation puts the volume at 19.0 Å³ per atom. Its space group is C2/m. Its total energy is -119.9 eV for the cell shown.



[8]
# BaPrSb2

An optimized crystal structure of BaPrSb2 (PBE, the Alexandria database).

Cell: 4.6750 4.6750 8.5664 Å, 74.17 74.17 60.00°
Fractional positions:
Sb1 0.2597 0.2597 0.2210
Sb2 0.7403 0.7403 0.7790
Ba1 0.5000 0.5000 0.5000
Pr1 0.0000 0.0000 0.0000

Properties
As for the raw formation energy: -22.3 kcal/mol of atoms. The calculation puts the volume at 38.5 Å³ per atom. Its space group is R-3m. Its total energy is -18.8 eV for the cell shown.



[9]
# CsHf2Ti

An optimized crystal structure of CsHf2Ti (PBE, the Alexandria database).

Cell: 7.4208 7.4208 8.1298 Å, 62.85 62.85 90.00°
Fractional positions:
Ti1 0.5000 0.5000 0.0000
Hf1 0.3750 0.6250 0.2500
Hf2 0.3750 0.6250 0.7500
Hf3 0.8750 0.6250 0.7500
Hf4 0.3750 0.1250 0.2500
Cs1 0.0000 0.0000 0.0000
Ti2 0.2500 0.7500 0.5000
Cs2 0.7500 0.2500 0.5000

Properties
The calculation puts the volume at 42.7 Å³ per atom. Its space group is I4_1/amd. Its total energy is -43.9 eV for the cell shown.



[10]
# KUSe2O

An optimized crystal structure of KUSe2O (PBE, the Alexandria database).

Cell: 4.2127 7.6638 9.3195 Å, 106.53 90.00 90.00°
Site moments in Bohr magnetons follow the coordinates.
Fractional positions:
Se1 0.7500 0.8086 0.0367  -0.05
Se2 0.2500 0.1914 0.9633  -0.05
Se3 0.2500 0.1560 0.3663  -0.04
K1 0.7500 0.3145 0.6838  0.00
K2 0.2500 0.6855 0.3162  0.00
O1 0.7500 0.4461 0.2429  -0.05
U1 0.7500 0.1920 0.1785  1.14
O2 0.2500 0.5539 0.7571  -0.05
Se4 0.7500 0.8440 0.6337  -0.04
U2 0.2500 0.8080 0.8215  1.14

Properties
As for the raw formation energy: -40.6 kcal/mol of atoms. The calculation puts the volume at 28.8 Å³ per atom. Its space group is P2_1/m. Its total energy is -66.2 eV for the cell shown.



[11]
# Ca2Ag2HPd4

An optimized crystal structure of Ca2Ag2HPd4 (PBE, the Alexandria database).

Cell: 5.9389 5.9389 5.9389 Å, 90.76 119.56 119.56°
Fractional positions:
Pd1 0.5238 0.7619 0.7619
Pd2 0.0000 0.2381 0.7619
Ag1 0.5000 0.2500 0.7500
Ag2 0.5000 0.7500 0.2500
Pd3 0.0000 0.7619 0.2381
Pd4 0.4762 0.2381 0.2381
Ca1 0.0000 0.2732 0.2732
H1 0.0000 0.0000 0.0000
Ca2 0.0000 0.7268 0.7268

Properties
The calculation puts the volume at 16.6 Å³ per atom. Its space group is I4/mmm. Its total energy is -37.8 eV for the cell shown.



[12]
# Li2Ca3Hg

An optimized crystal structure of Li2Ca3Hg (PBE, the Alexandria database).

Cell: 3.8618 3.8618 11.8876 Å, 90.00 90.00 90.00°
Fractional positions:
Li1 0.5000 0.5000 0.8289
Ca1 0.0000 0.0000 0.3468
Ca2 0.0000 0.0000 0.6532
Ca3 0.0000 0.0000 0.0000
Li2 0.5000 0.5000 0.1711
Hg1 0.5000 0.5000 0.5000

Properties
The calculation puts the volume at 29.5 Å³ per atom. Its space group is P4/mmm. Its total energy is -11.3 eV for the cell shown.



[13]
# PuMgCd2O6

An optimized crystal structure of PuMgCd2O6 (PBE, the Alexandria database).

Cell: 5.5894 5.5896 5.8227 Å, 90.00 118.68 120.00°
Site moments in Bohr magnetons follow the coordinates.
Fractional positions:
Mg1 0.9963 0.4976 0.4799  0.00
O1 0.4953 0.8556 0.7070  -0.07
O2 0.8679 0.7337 0.2047  -0.08
O3 0.8654 0.6387 0.7070  -0.07
Cd1 0.5498 0.2744 0.8102  0.00
Cd2 0.5476 0.7733 0.3069  0.00
O4 0.0856 0.3509 0.2047  -0.08
O5 0.0823 0.2257 0.7070  -0.07
O6 0.4851 0.1332 0.2047  -0.08
Pu1 0.9902 0.9946 0.9707  2.49

Properties
As for the raw formation energy: -44.8 kcal/mol of atoms. The calculation puts the volume at 13.1 Å³ per atom. Its space group is R3. Its total energy is -66.9 eV for the cell shown.



[14]
# CaTaSi2H

An optimized crystal structure of CaTaSi2H (PBE, the Alexandria database).

Cell: 4.9550 3.8262 4.9550 Å, 90.00 90.00 90.00°
Fractional positions:
Ta1 0.0000 0.0000 0.0000
H1 0.0000 0.5000 0.0000
Ca1 0.5000 0.5000 0.5000
Si1 0.5000 0.0000 0.0000
Si2 0.0000 0.0000 0.5000

Properties
The calculation puts the volume at 18.8 Å³ per atom. Its space group is P4/mmm. Its total energy is -27.8 eV for the cell shown.



[15]
# Pu2Pd5Au12

An optimized crystal structure of Pu2Pd5Au12 (PBE, the Alexandria database).

Cell: 7.2135 7.2135 7.2135 Å, 82.68 82.68 82.68°
Site moments in Bohr magnetons follow the coordinates.
Fractional positions:
Pd1 0.5000 0.0000 0.0000  -0.02
Au1 0.3493 0.8466 0.3493  0.00
Au2 0.3027 0.0000 0.6973  0.00
Au3 0.3493 0.3493 0.8466  0.00
Au4 0.3027 0.6973 0.0000  0.00
Pu1 0.6865 0.6865 0.6865  5.31
Au5 0.0000 0.6973 0.3027  0.00
Au6 0.1534 0.6507 0.6507  0.00
Au7 0.8466 0.3493 0.3493  0.00
Pd2 0.1021 0.1021 0.1021  -0.05
Pu2 0.3135 0.3135 0.3135  5.31
Pd3 0.8979 0.8979 0.8979  -0.05
Au8 0.6507 0.6507 0.1534  0.00
Au9 0.6973 0.3027 0.0000  0.00
Au10 0.6973 0.0000 0.3027  0.00
Au11 0.6507 0.1534 0.6507  0.00
Pd4 0.0000 0.0000 0.5000  -0.02
Pd5 0.0000 0.5000 0.0000  -0.02
Au12 0.0000 0.3027 0.6973  0.00

Properties
The calculation puts the volume at 19.3 Å³ per atom. Its space group is R-3m. Its total energy is -98.1 eV for the cell shown.



[16]
# Mg2AlSi

An optimized crystal structure of Mg2AlSi (PBE, the Alexandria database).

Cell: 4.7443 4.7443 4.7443 Å, 60.00 60.00 60.00°
Fractional positions:
Mg1 0.0000 0.0000 0.0000
Si1 0.2500 0.2500 0.2500
Al1 0.5000 0.5000 0.5000
Mg2 0.7500 0.7500 0.7500

Properties
As for the raw formation energy: 4.6 kcal/mol of atoms. The calculation puts the volume at 18.9 Å³ per atom. Its space group is F-43m. Its total energy is -11.6 eV for the cell shown.



[17]
# LiPrSmBi

An optimized crystal structure of LiPrSmBi (PBE, the Alexandria database).

Cell: 5.4424 5.4424 5.4424 Å, 60.00 60.00 60.00°
Fractional positions:
Sm1 0.2500 0.2500 0.2500
Li1 0.0000 0.0000 0.0000
Pr1 0.7500 0.7500 0.7500
Bi1 0.5000 0.5000 0.5000

Properties
The calculation puts the volume at 28.5 Å³ per atom. Its space group is F-43m. Its total energy is -16.8 eV for the cell shown.



[18]
# Na2BSbPd6

An optimized crystal structure of Na2BSbPd6 (PBE, the Alexandria database).

Cell: 5.8172 7.2740 7.2745 Å, 47.13 66.40 89.97°
Fractional positions:
Pd1 0.7889 0.7310 0.9426
Na1 0.7183 0.2809 0.5624
Na2 0.2818 0.7191 0.4376
Pd2 0.2676 0.2099 0.4629
Pd3 0.7316 0.2687 0.0587
Pd4 0.7324 0.7901 0.5371
Pd5 0.2684 0.7313 0.9413
B1 0.5000 0.5000 0.0000
Pd6 0.2111 0.2690 0.0574
Sb1 0.0000 0.0000 0.0000

Properties
As for the raw formation energy: -6.7 kcal/mol of atoms. The calculation puts the volume at 18.9 Å³ per atom. Its space group is C2/m. Its total energy is -47.5 eV for the cell shown.